Tb6SmAg | PBE | relaxed Values from VASP.

Geometry as Quantum ESPRESSO input:
```
&SYSTEM
  ibrav = 0, nat = 8, ntyp = 3
/
ATOMIC_SPECIES
Tb 158.93 Tb.upf
Sm 150.36 Sm.upf
Ag 107.87 Ag.upf
CELL_PARAMETERS angstrom
6.305 0.000 0.000
-0.622 6.280 0.000
-0.614 -0.698 6.242
ATOMIC_POSITIONS angstrom
Tb 0.081 0.261 1.641
Tb 0.641 2.204 5.801
Tb 1.969 4.312 2.837
Tb 3.100 1.270 3.405
Tb 4.428 3.377 0.441
Tb 4.988 5.321 4.601
Sm 3.153 0.000 0.000
Ag -0.618 2.791 3.121
```

Computed properties:
ΔE_f	0.3	eV per formula unit